A geometry-optimized SmTlBi2 structure. Source: the Alexandria database, functional GGA-PBE.

The energy relative to the elements is -0.22 eV per atom. The distance to the lowest polymorph of the same formula is 0.213 eV per atom.

Lattice parameters (Å, degrees): 4.4131 4.4131 25.0949 90.00 90.00 120.00
Closest atoms and distances in Å follow each position.
Space group R-3m (No. 166, hexagonal axes)
One atom of each set of equivalent atoms:
Sm: 0.0000 0.0000 0.0000 (multiplicity 3)  6 Bi 3.22
Tl: 0.0000 0.0000 0.5000 (multiplicity 3)  6 Bi 3.38
Bi: 0.0000 0.0000 0.2551 (multiplicity 6)  3 Sm 3.22, 3 Tl 3.38


A geometry-optimized TiBeOsS2 structure. Source: the Alexandria database, functional GGA-PBE.

The uncorrected formation energy comes out at 1107.3 meV/atom.

Lattice parameters (Å, degrees): 4.4800 4.4800 4.2397 90.00 90.00 90.00
Closest atoms and distances in Å follow each position.
Space group P4/mmm (No. 123)
One atom of each set of equivalent atoms:
Ti: 0.0000 0.0000 0.0000 (multiplicity 1)  2 Be 2.12, 4 S 2.24
Be: 0.0000 0.0000 0.5000 (multiplicity 1)  2 Ti 2.12
Os: 0.5000 0.5000 0.5000 (multiplicity 1)  8 S 3.08, 4 Be 3.17
S: 0.0000 0.5000 0.0000 (multiplicity 2)  2 Ti 2.24


A geometry-optimized InTe4Mo structure. Source: the Alexandria database, functional GGA-PBE.

The uncorrected formation energy comes out at 859.7 meV/atom.

Lattice parameters (Å, degrees): 9.0779 9.0779 9.0779 90.00 90.00 90.00
Closest atoms and distances in Å follow each position.
Space group F-43m (No. 216)
One atom of each set of equivalent atoms:
In: 0.0000 0.0000 0.0000 (multiplicity 4)  12 Te 3.77, 4 Mo 3.93
Te: 0.1242 0.1242 0.3758 (multiplicity 16)  6 Te 3.19-3.23
Mo: 0.2500 0.2500 0.7500 (multiplicity 4)  12 Te 3.76, 4 In 3.93


Summary of final energy in eV per atom
-3.929, -5.114, -3.496
(order as listed above)